*one*
Density functional theory data (SCAN) for a PBEsol-optimized structure of Al2NiRu.

It has space group F-43m (No. 216), with a = 5.9104 Å, b = 5.9104 Å, c = 5.9104 Å, α = 90.00°, β = 90.00° and γ = 90.00°. Symmetry generates all atoms from Al at (0.0000, 0.0000, 0.0000), Al at (0.2500, 0.2500, 0.2500), Ni at (0.0000, 0.0000, 0.5000) and Ru at (0.2500, 0.2500, 0.7500).

For the density of states at the Fermi level, the calculation gives 7.86 states/eV/cell.

---

*two*
Density functional theory data (SCAN) for a PBEsol-optimized structure of Al2NiRu.

It has space group P4/mmm (No. 123), with a = 2.9702 Å, b = 2.9702 Å, c = 5.6745 Å, α = 90.00°, β = 90.00° and γ = 90.00°. Symmetry generates all atoms from Al at (0.0000, 0.0000, 0.2492), Ni at (0.5000, 0.5000, 0.0000) and Ru at (0.5000, 0.5000, 0.5000).

For the density of states at the Fermi level, the calculation gives 1.43 states/eV/cell.

---

Quick one: most stable of them? *two*

---

*one*
Density functional theory data (SCAN) for a PBEsol-optimized structure of Al2SiNi2.

It has space group I4/mmm (No. 139), with a = 3.5389 Å, b = 3.5389 Å, c = 11.0006 Å, α = 90.00°, β = 90.00° and γ = 90.00°. Symmetry generates all atoms from Al at (0.0000, 0.5000, 0.2500), Si at (0.0000, 0.0000, 0.0000) and Ni at (0.0000, 0.0000, 0.3955).

For the density of states at the Fermi level, the calculation gives 4.51 states/eV/cell.

---

*two*
Density functional theory data (SCAN) for a PBEsol-optimized structure of Al2SiNi2.

It has space group P-3m1 (No. 164), with a = 3.9021 Å, b = 3.9021 Å, c = 4.8870 Å, α = 90.00°, β = 90.00° and γ = 120.00°. Symmetry generates all atoms from Al at (0.3333, 0.6667, 0.3533), Si at (0.0000, 0.0000, 0.0000) and Ni at (0.3333, 0.6667, 0.8543).

For the density of states at the Fermi level, the calculation gives 1.08 states/eV/cell.

---

Quick one: most stable of them? *two*

---

*one*
Density functional theory data (SCAN) for a PBEsol-optimized structure of AlSnP2O.

It has space group P4/mmm (No. 123), with a = 5.0566 Å, b = 5.0566 Å, c = 3.8566 Å, α = 90.00°, β = 90.00° and γ = 90.00°. Symmetry generates all atoms from Al at (0.0000, 0.0000, 0.0000), Sn at (0.5000, 0.5000, 0.5000), P at (0.0000, 0.5000, 0.5000) and O at (0.5000, 0.5000, 0.0000).

For the density of states at the Fermi level, the calculation gives 3.10 states/eV/cell.

---

*two*
Density functional theory data (SCAN) for a PBEsol-optimized structure of AlSnP2O.

It has space group P4/mmm (No. 123), with a = 4.9819 Å, b = 4.9819 Å, c = 3.3998 Å, α = 90.00°, β = 90.00° and γ = 90.00°. Symmetry generates all atoms from Al at (0.0000, 0.0000, 0.0000), Sn at (0.5000, 0.5000, 0.5000), P at (0.0000, 0.5000, 0.0000) and O at (0.0000, 0.0000, 0.5000).

For the density of states at the Fermi level, the calculation gives 3.21 states/eV/cell.

---

Quick one: most stable of them? *two*

---

*one*
Density functional theory data (SCAN) for a PBEsol-optimized structure of AlPb3O.

It has space group Pm-3m (No. 221), with a = 4.9304 Å, b = 4.9304 Å, c = 4.9304 Å, α = 90.00°, β = 90.00° and γ = 90.00°. Symmetry generates all atoms from Al at (0.0000, 0.0000, 0.0000), Pb at (0.0000, 0.5000, 0.5000) and O at (0.5000, 0.5000, 0.5000).

For the density of states at the Fermi level, the calculation gives 1.73 states/eV/cell.

---

*two*
Density functional theory data (SCAN) for a PBEsol-optimized structure of AlPb3O.

It has space group Pm-3m (No. 221), with a = 5.2599 Å, b = 5.2599 Å, c = 5.2599 Å, α = 90.00°, β = 90.00° and γ = 90.00°. Symmetry generates all atoms from Al at (0.0000, 0.0000, 0.0000), Pb at (0.0000, 0.0000, 0.5000) and O at (0.5000, 0.5000, 0.5000).

For the density of states at the Fermi level, the calculation gives 2.64 states/eV/cell.

---

Quick one: most stable of them? *one*

---

*one*
Density functional theory data (SCAN) for a PBEsol-optimized structure of AlTlSiO4.

It has space group Pnma (No. 62), with a = 8.1920 Å, b = 5.4193 Å, c = 9.5209 Å, α = 90.00°, β = 90.00° and γ = 90.00°. Symmetry generates all atoms from Al at (0.1900, 0.2500, 0.0926), Tl at (0.0162, 0.7500, 0.3196), Si at (0.2120, 0.7500, 0.9322), O at (0.0167, 0.7500, 0.9385), O at (0.2126, 0.0070, 0.5141) and O at (0.2202, 0.2500, 0.2727).

For the density of states at the Fermi level, the calculation gives 0.00 states/eV/cell.

---

*two*
Density functional theory data (SCAN) for a PBEsol-optimized structure of AlTlSiO4.

It has space group R3c (No. 161, hexagonal axes), with a = 12.7670 Å, b = 12.7670 Å, c = 15.4879 Å, α = 90.00°, β = 90.00° and γ = 120.00°. Symmetry generates all atoms from Al at (0.0016, 0.2468, 0.0000), Tl at (0.1998, 0.0974, 0.7000), Si at (0.0838, 0.4156, 0.1675), O at (0.0008, 0.2948, 0.6005), O at (0.0045, 0.2963, 0.1067), O at (0.0535, 0.5197, 0.1351) and O at (0.2004, 0.0946, 0.4983).

For the density of states at the Fermi level, the calculation gives 0.00 states/eV/cell.

---

Quick one: most stable of them? *one*

---

*one*
Density functional theory data (SCAN) for a PBEsol-optimized structure of AlPOs2.

It has space group I-42d (No. 122), with a = 6.9703 Å, b = 6.9703 Å, c = 4.9839 Å, α = 90.00°, β = 90.00° and γ = 90.00°. Symmetry generates all atoms from Al at (0.0000, 0.0000, 0.0000), P at (0.0000, 0.0000, 0.5000) and Os at (0.1736, 0.2500, 0.6250).

For the density of states at the Fermi level, the calculation gives 8.91 states/eV/cell.

---

*two*
Density functional theory data (SCAN) for a PBEsol-optimized structure of AlPOs2.

It has space group P4/mmm (No. 123), with a = 4.1552 Å, b = 4.1552 Å, c = 2.9711 Å, α = 90.00°, β = 90.00° and γ = 90.00°. Symmetry generates all atoms from Al at (0.0000, 0.0000, 0.0000), P at (0.5000, 0.5000, 0.0000) and Os at (0.0000, 0.5000, 0.5000).

For the density of states at the Fermi level, the calculation gives 1.24 states/eV/cell.

---

Quick one: most stable of them? *two*

---

*one*
Density functional theory data (SCAN) for a PBEsol-optimized structure of AlPOs2.

It has space group C2/m (No. 12), with a = 5.6486 Å, b = 7.9098 Å, c = 2.8464 Å, α = 90.00°, β = 119.77° and γ = 90.00°. Symmetry generates all atoms from Al at (0.0000, 0.0000, 0.0000), P at (0.0000, 0.5000, 0.0000) and Os at (0.2500, 0.2500, 0.5000).

For the density of states at the Fermi level, the calculation gives 4.85 states/eV/cell.

---

*two*
Density functional theory data (SCAN) for a PBEsol-optimized structure of AlPOs2.

It has space group P4mm (No. 99), with a = 3.0867 Å, b = 3.0867 Å, c = 5.6088 Å, α = 90.00°, β = 90.00° and γ = 90.00°. Symmetry generates all atoms from Al at (0.0000, 0.0000, 0.0000), P at (0.5000, 0.5000, 0.7425), Os at (0.0000, 0.0000, 0.5492) and Os at (0.5000, 0.5000, 0.1931).

For the density of states at the Fermi level, the calculation gives 1.75 states/eV/cell.

---

*three*
Density functional theory data (SCAN) for a PBEsol-optimized structure of AlPOs2.

It has space group R3m (No. 160, hexagonal axes), with a = 2.8461 Å, b = 2.8461 Å, c = 23.5306 Å, α = 90.00°, β = 90.00° and γ = 120.00°. Symmetry generates all atoms from Al at (0.0000, 0.0000, 0.0000), P at (0.0000, 0.0000, 0.2493), Os at (0.0000, 0.0000, 0.5089) and Os at (0.0000, 0.0000, 0.7500).

For the density of states at the Fermi level, the calculation gives 6.48 states/eV/cell.

---

Quick one: most stable of them? *two*

---

*one*
Density functional theory data (SCAN) for a PBEsol-optimized structure of AlOsPb.

It has space group F-43m (No. 216), with a = 6.1332 Å, b = 6.1332 Å, c = 6.1332 Å, α = 90.00°, β = 90.00° and γ = 90.00°. Symmetry generates all atoms from Al at (0.0000, 0.0000, 0.0000), Os at (0.2500, 0.2500, 0.7500) and Pb at (0.2500, 0.2500, 0.2500).

For the density of states at the Fermi level, the calculation gives 4.51 states/eV/cell.

---

*two*
Density functional theory data (SCAN) for a PBEsol-optimized structure of AlOsPb.

It has space group P-6m2 (No. 187), with a = 4.3283 Å, b = 4.3283 Å, c = 3.4371 Å, α = 90.00°, β = 90.00° and γ = 120.00°. Symmetry generates all atoms from Al at (0.0000, 0.0000, 0.0000), Os at (0.3333, 0.6667, 0.0000) and Pb at (0.6667, 0.3333, 0.5000).

For the density of states at the Fermi level, the calculation gives 3.16 states/eV/cell.

---

*three*
Density functional theory data (SCAN) for a PBEsol-optimized structure of AlOsPb.

It has space group I4mm (No. 107), with a = 3.1341 Å, b = 3.1341 Å, c = 12.0318 Å, α = 90.00°, β = 90.00° and γ = 90.00°. Symmetry generates all atoms from Al at (0.0000, 0.0000, 0.0000), Os at (0.0000, 0.0000, 0.5969) and Pb at (0.0000, 0.0000, 0.2609).

For the density of states at the Fermi level, the calculation gives 2.97 states/eV/cell.

---

Quick one: most stable of them? *three*

---

*one*
Density functional theory data (SCAN) for a PBEsol-optimized structure of AlOsSe.

It has space group P-6m2 (No. 187), with a = 4.2471 Å, b = 4.2471 Å, c = 2.9477 Å, α = 90.00°, β = 90.00° and γ = 120.00°. Symmetry generates all atoms from Al at (0.0000, 0.0000, 0.0000), Os at (0.6667, 0.3333, 0.5000) and Se at (0.3333, 0.6667, 0.5000).

For the density of states at the Fermi level, the calculation gives 1.49 states/eV/cell.

---

*two*
Density functional theory data (SCAN) for a PBEsol-optimized structure of AlOsSe.

It has space group P3m1 (No. 156), with a = 3.0742 Å, b = 3.0742 Å, c = 5.7541 Å, α = 90.00°, β = 90.00° and γ = 120.00°. Symmetry generates all atoms from Al at (0.0000, 0.0000, 0.0000), Os at (0.3333, 0.6667, 0.6829) and Se at (0.6667, 0.3333, 0.3624).

For the density of states at the Fermi level, the calculation gives 2.02 states/eV/cell.

---

*three*
Density functional theory data (SCAN) for a PBEsol-optimized structure of AlOsSe.

It has space group I4mm (No. 107), with a = 2.9517 Å, b = 2.9517 Å, c = 10.9224 Å, α = 90.00°, β = 90.00° and γ = 90.00°. Symmetry generates all atoms from Al at (0.0000, 0.0000, 0.0000), Os at (0.0000, 0.0000, 0.6431) and Se at (0.0000, 0.0000, 0.2915).

For the density of states at the Fermi level, the calculation gives 5.48 states/eV/cell.

---

*four*
Density functional theory data (SCAN) for a PBEsol-optimized structure of AlOsSe.

It has space group Fmm2 (No. 42), with a = 2.9794 Å, b = 4.8756 Å, c = 13.0392 Å, α = 90.00°, β = 90.00° and γ = 90.00°. Symmetry generates all atoms from Al at (0.0000, 0.0000, 0.0000), Os at (0.0000, 0.0000, 0.6518) and Se at (0.0000, 0.0000, 0.3173).

For the density of states at the Fermi level, the calculation gives 9.08 states/eV/cell.

---

Quick one: most stable of them? *two*

---

*one*
Density functional theory data (SCAN) for a PBEsol-optimized structure of Al2PPb.

It has space group R-3m (No. 166, hexagonal axes), with a = 3.6095 Å, b = 3.6095 Å, c = 21.4978 Å, α = 90.00°, β = 90.00° and γ = 120.00°. Symmetry generates all atoms from Al at (0.0000, 0.0000, 0.2308), P at (0.0000, 0.0000, 0.5000) and Pb at (0.0000, 0.0000, 0.0000).

For the density of states at the Fermi level, the calculation gives 3.24 states/eV/cell.

---

*two*
Density functional theory data (SCAN) for a PBEsol-optimized structure of Al2PPb.

It has space group Pmm2 (No. 25), with a = 3.7454 Å, b = 4.0164 Å, c = 6.0082 Å, α = 90.00°, β = 90.00° and γ = 90.00°. Symmetry generates all atoms from Al at (0.0000, 0.0000, 0.0000), Al at (0.5000, 0.5000, 0.0281), P at (0.0000, 0.5000, 0.7631) and Pb at (0.5000, 0.0000, 0.3905).

For the density of states at the Fermi level, the calculation gives 0.76 states/eV/cell.

---

Quick one: most stable of them? *one*

---

*one*
Density functional theory data (SCAN) for a PBEsol-optimized structure of AlPRu2.

It has space group P4/mmm (No. 123), with a = 4.1095 Å, b = 4.1095 Å, c = 2.9536 Å, α = 90.00°, β = 90.00° and γ = 90.00°. Symmetry generates all atoms from Al at (0.0000, 0.0000, 0.0000), P at (0.5000, 0.5000, 0.0000) and Ru at (0.0000, 0.5000, 0.5000).

For the density of states at the Fermi level, the calculation gives 0.95 states/eV/cell.

---

*two*
Density functional theory data (SCAN) for a PBEsol-optimized structure of AlPRu2.

It has space group P2/m (No. 10), with a = 4.1446 Å, b = 2.8623 Å, c = 4.8349 Å, α = 90.00°, β = 114.37° and γ = 90.00°. Symmetry generates all atoms from Al at (0.0000, 0.0000, 0.0000), P at (0.0000, 0.5000, 0.5000), Ru at (0.5000, 0.0000, 0.5000) and Ru at (0.5000, 0.5000, 0.0000).

For the density of states at the Fermi level, the calculation gives 2.11 states/eV/cell.

---

Quick one: most stable of them? *one*